Run 1
First-principles (PBE) data for Li2HN after structural relaxation, as listed in Alexandria via LeMat-Bulk.

## Properties
Its crystal system is orthorhombic. For the calculated density, the calculation gives 1.398 g/cm³.

a = 7.760 Å, b = 3.615 Å, c = 4.892 Å
α = 90.00°, β = 90.00°, γ = 90.00°
Space group Pnma (No. 62)
Symmetry-distinct sites (fractional):
Li 0.103 0.250 0.037 (multiplicity 4)
Li 0.201 0.250 0.587 (multiplicity 4)
H 0.077 0.750 0.602 (multiplicity 4)
N 0.147 0.750 0.782 (multiplicity 4)

=====

Run 2
First-principles (PBE) data for Li2HN after structural relaxation, as listed in Alexandria via LeMat-Bulk.

## Properties
Its crystal system is cubic. For the calculated density, the calculation gives 1.710 g/cm³.

a = 4.824 Å, b = 4.824 Å, c = 4.824 Å
α = 90.00°, β = 90.00°, γ = 90.00°
Space group Fm-3m (No. 225)
Symmetry-distinct sites (fractional):
Li 0.250 0.250 0.250 (multiplicity 8)
H 0.000 0.000 0.000 (multiplicity 4)
N 0.000 0.000 0.500 (multiplicity 4)

=====

Run 3
First-principles (PBE) data for Li2HN after structural relaxation, as listed in Alexandria via LeMat-Bulk.

## Properties
Its crystal system is monoclinic. For the calculated density, the calculation gives 1.408 g/cm³.

a = 6.492 Å, b = 3.560 Å, c = 6.436 Å
α = 90.00°, β = 113.63°, γ = 90.00°
Space group C2/c (No. 15)
Symmetry-distinct sites (fractional):
Li 0.147 0.186 0.109 (multiplicity 8)
H 0.000 0.486 0.750 (multiplicity 4)
N 0.000 0.195 0.750 (multiplicity 4)

=====

Run 4
First-principles (PBE) data for Li2HN after structural relaxation, as listed in Alexandria via LeMat-Bulk.

## Properties
Its crystal system is orthorhombic. For the calculated density, the calculation gives 1.457 g/cm³.

a = 5.946 Å, b = 3.517 Å, c = 6.300 Å
α = 90.00°, β = 90.00°, γ = 90.00°
Space group Pnma (No. 62)
Symmetry-distinct sites (fractional):
Li 0.121 0.250 0.073 (multiplicity 4)
Li 0.158 0.250 0.712 (multiplicity 4)
H 0.115 0.250 0.393 (multiplicity 4)
N 0.211 0.750 0.895 (multiplicity 4)

=====

Looking at the structures above, which would you pick as the most stable? I would pick run 1.